(1)
16
Lattice="-4.0727 4.2312 5.8714 4.0727 -4.2312 5.8714 4.0727 4.2312 -5.8714" Properties=species:S:1:pos:R:3 comment="Tl2BiAsS4, optimized geometry, DFT PBE" vol_a3_per_atom=25.29 sg=Imma formation_energy_uncorrected_ev_per_atom=-0.25 total_magnetization_mub_per_fu=0.0 pbc="T T T"
Tl 0.0000 0.0000 0.0000
Tl -2.0363 2.1156 2.9357
Tl 0.0000 4.2312 0.0000
Tl 2.0363 2.1156 2.9357
Bi 4.0727 0.0000 0.0000
Bi 0.0000 0.0000 5.8714
As 2.0363 2.1156 -2.9357
As 2.0363 -2.1156 2.9357
S 4.0727 -0.3522 2.8408
S 4.0727 3.8791 -2.8408
S 2.1731 2.1156 -0.2560
S 5.9722 2.1156 -0.2560
S -1.8996 2.1156 6.1274
S 1.8996 2.1156 6.1274
S 0.0000 0.3522 8.7122
S 0.0000 4.5834 3.0307

=====

(2)
18
Lattice="6.7525 0.0000 0.0000 -3.3762 5.8478 0.0000 0.0000 0.0000 13.3841" Properties=species:S:1:pos:R:3 comment="BaMgCdCl6, optimized geometry, DFT PBE" vol_a3_per_atom=29.36 sg=P-31c formation_energy_uncorrected_ev_per_atom=-1.81 total_magnetization_mub_per_fu=0.0 pbc="T T T"
Ba 0.0000 0.0000 0.0000
Ba 0.0000 0.0000 6.6921
Mg 0.0000 3.8986 3.3460
Mg 3.3763 1.9493 10.0381
Cd 0.0000 3.8986 10.0381
Cd 3.3763 1.9493 3.3460
Cl -1.1760 2.2049 1.8730
Cl -2.0548 3.7270 4.8191
Cl 1.1760 2.2049 4.8191
Cl -0.8788 5.7638 1.8730
Cl 2.4975 0.0840 8.5650
Cl 1.3215 2.1209 11.5111
Cl 2.0548 3.7270 1.8730
Cl 0.8788 5.7638 4.8191
Cl 4.2550 0.0840 11.5111
Cl 2.2003 3.6430 8.5650
Cl 5.4310 2.1209 8.5650
Cl 4.5522 3.6430 11.5111

=====

(3)
10
Lattice="-3.9060 3.9060 5.6339 3.9060 -3.9060 5.6339 3.9060 3.9060 -5.6339" Properties=species:S:1:pos:R:3 comment="Cs2ZnAuBr6, optimized geometry, DFT PBE" vol_a3_per_atom=34.38 sg=I4/mmm formation_energy_uncorrected_ev_per_atom=-0.98 total_magnetization_mub_per_fu=0.0 pbc="T T T"
Cs 3.9060 0.0000 2.8170
Cs 0.0000 3.9060 2.8170
Zn 0.0000 0.0000 0.0000
Au 0.0000 0.0000 5.6339
Br 1.7850 1.7850 0.0000
Br 2.1210 -2.1210 5.6339
Br 0.0000 0.0000 3.1458
Br 0.0000 0.0000 8.1220
Br -2.1210 2.1210 5.6339
Br 2.1210 2.1210 5.6339

=====

(4)
8
Lattice="4.2478 0.0000 0.0000 0.0000 5.0712 0.0000 0.0000 0.0000 4.5128" Properties=species:S:1:pos:R:3 comment="TaNi6Mo, optimized geometry, DFT PBE" vol_a3_per_atom=12.15 sg=Pmm2 e_form_mev_per_atom=-230.6 total_magnetization_mub_per_fu=0.0 pbc="T T T"
Ta 0.0000 0.0000 0.0000
Ni 0.0000 1.2932 2.2878
Ni 0.0000 2.5356 0.0570
Ni 0.0000 3.7779 2.2878
Ni 2.1239 0.0000 3.0179
Ni 2.1239 1.2861 0.8533
Ni 2.1239 3.7850 0.8533
Mo 2.1239 2.5356 3.1342

=====

(5)
4
Lattice="3.7770 0.0000 0.0000 0.0000 3.7770 0.0000 0.0000 0.0000 5.3542" Properties=species:S:1:pos:R:3 comment="MgFeSe2, optimized geometry, DFT PBE" vol_a3_per_atom=19.10 sg=P4/mmm formation_energy_uncorrected_ev_per_atom=-0.52 total_magnetization_mub_per_fu=3.5 pbc="T T T"
Mg 0.0000 0.0000 0.0000
Fe 1.8885 1.8885 2.6771
Se 0.0000 0.0000 2.6771
Se 1.8885 1.8885 0.0000

=====

(6)
18
Lattice="3.1469 -9.8311 0.0000 3.1469 9.8311 0.0000 0.0000 0.0000 7.7749" Properties=species:S:1:pos:R:3 comment="Tb3Nd2Al4, optimized geometry, DFT PBE" vol_a3_per_atom=26.73 sg=Cmce e_form_mev_per_atom=-207.9 total_magnetization_mub_per_fu=0.0 pbc="T T T"
Tb 0.0000 0.0000 0.0000
Tb 1.5734 4.8977 1.9437
Tb 1.5734 -4.8977 5.8312
Tb 3.1469 0.0000 3.8874
Tb 4.7203 4.8977 1.9437
Tb 4.7203 -4.8977 5.8312
Nd 3.1469 8.0995 3.0931
Nd 3.1469 1.7316 6.9806
Nd 3.1469 -1.7316 0.7943
Nd 3.1469 -8.0995 4.6818
Al 3.1469 6.8414 0.0427
Al 1.5734 1.7023 1.9437
Al 1.5734 -1.7023 5.8312
Al 3.1469 2.9897 3.9301
Al 3.1469 -2.9897 3.8448
Al 4.7203 1.7023 1.9437
Al 4.7203 -1.7023 5.8312
Al 3.1469 -6.8414 7.7322

=====

(7)
4
Lattice="3.7671 0.0000 0.0000 0.0000 3.7671 0.0000 0.0000 0.0000 9.1442" Properties=species:S:1:pos:R:3 comment="LaPmNdCd, optimized geometry, DFT PBE" vol_a3_per_atom=32.44 sg=P4mm e_form_mev_per_atom=-152.4 polymorph_energy_mev_per_atom=0 total_magnetization_mub_per_fu=0.0 pbc="T T T"
La 0.0000 0.0000 0.0000
Pm 0.0000 0.0000 5.0473
Nd 1.8835 1.8835 2.5664
Cd 1.8835 1.8835 7.0052

=====

(8)
5
Lattice="4.1940 0.0000 0.0000 0.0000 4.1940 0.0000 0.0000 0.0000 3.9674" Properties=species:S:1:pos:R:3 comment="YTiOF2, optimized geometry, DFT PBE" vol_a3_per_atom=13.96 sg=P4/mmm formation_energy_uncorrected_ev_per_atom=-2.35 polymorph_energy_mev_per_atom=0 total_magnetization_mub_per_fu=2.8 pbc="T T T"
Y 0.0000 0.0000 0.0000
Ti 2.0970 2.0970 1.9837
O 2.0970 2.0970 0.0000
F 0.0000 2.0970 1.9837
F 2.0970 0.0000 1.9837